1.
# RbLi2Au

An optimized crystal structure of RbLi2Au (GGA-PBE, Alexandria via LeMat-Bulk).

Calculated values
ΔE_f: -0.09 eV per atom

POSCAR file:
```
RbLi2Au
1.0
-4.077 2.493 2.982
-3.884 -2.784 -2.982
-3.743 -6.632 5.748
Rb Au Li
2 2 4
direct
0.250 0.750 0.500
0.500 0.500 0.000
0.750 0.250 0.500
0.000 0.000 0.000
0.872 0.125 0.250
0.375 0.128 0.750
0.878 0.625 0.250
0.875 0.122 0.750
```

=====

2.
# PmScIr

An optimized crystal structure of PmScIr (GGA-PBE, Alexandria via LeMat-Bulk).

Calculated values
Excess energy over the best structure of this formula in the dataset: 0 meV/atom
ΔE_f: -0.70 eV per atom

POSCAR file:
```
PmScIr
1.0
6.604 0.000 3.013
2.366 7.389 3.558
0.097 0.290 8.530
Ir Pm Sc
6 6 6
direct
0.087 0.667 0.667
0.420 0.833 0.833
0.420 0.333 0.333
0.753 0.750 0.250
0.754 0.250 0.750
0.087 0.167 0.167
0.168 0.043 0.543
0.339 0.250 0.750
0.168 0.543 0.043
0.754 0.457 0.957
0.339 0.750 0.250
0.753 0.957 0.457
0.753 0.874 0.874
0.753 0.374 0.374
0.502 0.626 0.626
0.005 0.000 0.000
0.005 0.500 0.500
0.502 0.126 0.126
```

=====

3.
# AlAsOs2

An optimized crystal structure of AlAsOs2 (GGA-PBE, Alexandria via LeMat-Bulk).

Calculated values
Excess energy over the best structure of this formula in the dataset: 518 meV/atom
ΔE_f: 0.48 eV per atom

POSCAR file:
```
AlAsOs2
1.0
4.413 0.000 0.000
2.207 3.822 0.000
2.207 1.274 3.603
As Al Os
1 1 2
direct
0.750 0.750 0.750
0.500 0.500 0.500
0.000 0.000 0.000
0.250 0.250 0.250
```

=====

4.
# RbLi2CuF6

An optimized crystal structure of RbLi2CuF6 (GGA-PBE, Alexandria via LeMat-Bulk).

Calculated values
ΔE_f (raw): -2.267 eV per atom

POSCAR file:
```
RbLi2CuF6
1.0
-5.948 2.271 -3.691
-5.812 -3.526 1.884
-1.627 6.711 1.439
F Cu Li Rb
12 2 4 2
direct
0.446 0.050 0.315
0.703 0.687 0.958
0.522 0.562 0.690
0.054 0.685 0.950
0.978 0.310 0.438
0.203 0.958 0.687
0.946 0.315 0.050
0.022 0.690 0.562
0.297 0.313 0.042
0.554 0.950 0.685
0.797 0.042 0.313
0.478 0.438 0.310
0.750 0.865 0.135
0.250 0.135 0.865
0.769 0.636 0.647
0.231 0.364 0.353
0.269 0.647 0.636
0.731 0.353 0.364
0.250 0.790 0.210
0.750 0.210 0.790
```

=====

5.
# CsSmNb6Br18

An optimized crystal structure of CsSmNb6Br18 (GGA-PBE, Alexandria via LeMat-Bulk).

Calculated values
ΔE_f (raw): -1.132 eV per atom

POSCAR file:
```
CsSmNb6Br18
1.0
9.985 0.000 0.000
-4.992 8.647 0.000
0.000 0.000 18.559
Br Nb Cs Sm
36 12 2 2
direct
0.274 0.860 0.501
0.082 0.444 0.161
0.770 0.955 0.659
0.413 0.140 0.001
0.587 0.726 0.501
0.955 0.770 0.159
0.140 0.413 0.501
0.230 0.045 0.341
0.587 0.860 0.999
0.045 0.815 0.659
0.637 0.082 0.839
0.363 0.918 0.161
0.770 0.815 0.841
0.444 0.363 0.839
0.363 0.444 0.339
0.274 0.413 0.999
0.637 0.556 0.661
0.413 0.274 0.499
0.918 0.363 0.661
0.185 0.955 0.841
0.860 0.274 0.001
0.140 0.726 0.999
0.444 0.082 0.661
0.556 0.918 0.339
0.955 0.185 0.341
0.726 0.140 0.499
0.860 0.587 0.499
0.815 0.045 0.159
0.815 0.770 0.341
0.230 0.185 0.159
0.726 0.587 0.001
0.082 0.637 0.339
0.918 0.556 0.839
0.556 0.637 0.161
0.185 0.230 0.659
0.045 0.230 0.841
0.150 0.963 0.065
0.850 0.813 0.565
0.150 0.187 0.435
0.037 0.187 0.065
0.850 0.037 0.935
0.963 0.813 0.935
0.187 0.150 0.935
0.813 0.850 0.065
0.037 0.850 0.435
0.187 0.037 0.565
0.813 0.963 0.435
0.963 0.150 0.565
0.667 0.333 0.250
0.333 0.667 0.750
0.333 0.667 0.250
0.667 0.333 0.750
```

=====

6.
# NaSr2Tl4Pb2

An optimized crystal structure of NaSr2Tl4Pb2 (GGA-PBE, Alexandria via LeMat-Bulk).

Calculated values
ΔE_f: -0.06 eV per atom

POSCAR file:
```
NaSr2Tl4Pb2
1.0
7.604 -0.278 -0.402
-3.894 6.537 0.402
-3.894 -1.920 6.261
Sr Tl Pb Na
2 4 2 1
direct
0.000 0.726 0.726
0.000 0.274 0.274
0.551 0.276 0.276
0.000 0.724 0.276
0.449 0.724 0.724
0.000 0.276 0.724
0.500 0.750 0.250
0.500 0.250 0.750
0.000 0.000 0.000
```

=====

7.
# CaPr12Co6

An optimized crystal structure of CaPr12Co6 (GGA-PBE, Alexandria via LeMat-Bulk).

Calculated values
ΔE_f: -0.04 eV per atom

POSCAR file:
```
CaPr12Co6
1.0
2.472 0.614 -8.496
5.139 -5.917 4.154
-8.465 -2.614 0.435
Pr Ca Co
12 1 6
direct
0.117 0.804 0.314
0.804 0.314 0.117
0.196 0.314 0.510
0.686 0.490 0.804
0.510 0.196 0.314
0.686 0.883 0.196
0.314 0.510 0.196
0.314 0.117 0.804
0.196 0.686 0.883
0.804 0.686 0.490
0.490 0.804 0.686
0.883 0.196 0.686
0.000 0.000 0.000
0.109 0.609 0.500
0.891 0.391 0.500
0.500 0.891 0.391
0.609 0.500 0.109
0.500 0.109 0.609
0.391 0.500 0.891
```

=====

8.
# Pr3ErP4

An optimized crystal structure of Pr3ErP4 (GGA-PBE, Alexandria via LeMat-Bulk).

Calculated values
ΔE_f: -1.52 eV per atom

POSCAR file:
```
Pr3ErP4
1.0
7.183 0.063 0.000
-2.458 6.748 0.000
0.000 0.000 8.304
P Pr Er
8 6 2
direct
0.000 0.240 0.120
0.000 0.760 0.880
0.005 0.754 0.370
0.995 0.246 0.630
0.500 0.760 0.120
0.505 0.754 0.630
0.495 0.246 0.370
0.500 0.240 0.880
0.750 0.000 0.373
0.250 0.500 0.876
0.250 0.000 0.627
0.750 0.500 0.124
0.250 0.500 0.373
0.750 0.500 0.627
0.250 0.000 0.124
0.750 0.000 0.876
```